# CaMnI2O, optimized geometry, DFT GGA+U
data_CaMnI2O
_chemical_formula_sum 'Ca1 Mn1 I2 O1'
_cell_length_a 6.1310
_cell_length_b 6.1310
_cell_length_c 4.1814
_cell_angle_alpha 90.00
_cell_angle_beta 90.00
_cell_angle_gamma 90.00
_space_group_name_H-M_alt 'P 1'
_space_group_IT_number 1
loop_
_space_group_symop_operation_xyz
'x,y,z'
loop_
_atom_site_label
_atom_site_type_symbol
_atom_site_fract_x
_atom_site_fract_y
_atom_site_fract_z
_atom_site_occupancy
Mn1 Mn 0.5000 0.5000 0.5000 1
O1 O 0.0000 0.0000 0.5000 1
I1 I 0.0000 0.5000 0.0000 1
I2 I 0.5000 0.0000 0.0000 1
Ca1 Ca 0.0000 0.0000 0.0000 1
# M_tot = 5.4 μB per cell
# space group = P4/mmm, No. 123
# DFT total energy = -4.126 eV/atom